Entry from Alexandria via LeMat-Bulk: a geometry-optimized La2HOsO structure (PBEsol).

Structure (CIF):
```
data_La2HOsO
_cell_length_a 4.924
_cell_length_b 4.924
_cell_length_c 3.453
_cell_angle_alpha 90.00
_cell_angle_beta 90.00
_cell_angle_gamma 90.00
_symmetry_space_group_name_H-M 'P 4/m m m'
_symmetry_Int_Tables_number 123
_symmetry_space_group_name_Hall '-P 4 2'
loop_
_atom_site_label
_atom_site_type_symbol
_atom_site_fract_x
_atom_site_fract_y
_atom_site_fract_z
La1 La 0.000 0.500 0.000
H1 H 0.000 0.000 0.000
Os1 Os 0.000 0.000 0.500
O1 O 0.500 0.500 0.500
```

Output
D(E_F), states/eV/cell: 2.42



Entry from Alexandria via LeMat-Bulk: a geometry-optimized La2P3H3O9 structure (PBEsol).

Structure (CIF):
```
data_La2P3H3O9
_cell_length_a 8.252
_cell_length_b 14.471
_cell_length_c 7.027
_cell_angle_alpha 90.00
_cell_angle_beta 90.00
_cell_angle_gamma 90.00
_symmetry_space_group_name_H-M 'P n m a'
_symmetry_Int_Tables_number 62
_symmetry_space_group_name_Hall '-P 2ac 2n'
loop_
_atom_site_label
_atom_site_type_symbol
_atom_site_fract_x
_atom_site_fract_y
_atom_site_fract_z
La1 La 0.200 0.072 0.151
P1 P 0.034 0.750 0.888
P2 P 0.049 0.103 0.665
H1 H 0.109 0.188 0.733
H2 H 0.124 0.750 0.060
O1 O 0.067 0.031 0.829
O2 O 0.073 0.659 0.785
O3 O 0.128 0.614 0.387
O4 O 0.149 0.250 0.069
O5 O 0.163 0.072 0.503
```

Output
D(E_F), states/eV/cell: 0.00



E for the records above, in order: -6.983 -7.313 eV per atom